Compound: NiPtSeBr2
Source: Alexandria
Functional: PBE
Structure: relaxed

Output
The spin magnetization is 1.33 Bohr magnetons per cell. Its energy relative to the elements, uncorrected is 0.688 eV per atom. The density of states at the Fermi level is 7.67 states/eV/f.u. The density is 6.195 g/cm³.

Geometry as POSCAR:
```
NiPtSeBr2
1.0
5.206 0.000 0.000
0.000 5.206 0.000
0.000 0.000 4.872
Ni Pt Se Br
1 1 1 2
Direct
0.000 0.000 0.000
0.500 0.500 0.500
0.500 0.500 0.000
0.000 0.500 0.500
0.500 0.000 0.500
```